No. 1
A relaxed structure of RuSe2NF, computed with PBE-GGA.

As for the density of states at the Fermi level: 4.030 states/eV per cell. The raw total energy is -0.277 Ry/atom.

It has space group P4/mmm (No. 123), with a = 4.565 Å, b = 4.565 Å, c = 3.649 Å, α = 90.00°, β = 90.00° and γ = 90.00°. The asymmetric unit holds Ru at (0.000, 0.000, 0.000), Se at (0.000, 0.500, 0.500), N at (0.500, 0.500, 0.000) and F at (0.500, 0.500, 0.500).

No. 2
A relaxed structure of MgZr2Fe, computed with PBE-GGA.

As for the density of states at the Fermi level: 3.910 states/eV per cell. The raw total energy is -0.497 Ry/atom. Its energy of formation is 3 kJ/mol of atoms.

It has space group Immm (No. 71), with a = 3.442 Å, b = 4.995 Å, c = 8.987 Å, α = 90.00°, β = 90.00° and γ = 90.00°. The asymmetric unit holds Mg at (0.000, 0.000, 0.000), Zr at (0.000, 0.500, 0.201) and Fe at (0.000, 0.000, 0.500).

Question: Which of these has the highest density of states at the Fermi level?
Answer: RuSe2NF

Question: What is the density of states at the Fermi level in the first record?
Answer: 4.030 states/eV per cell

Question: Which value of density of states at the Fermi level does entry 2 give?
Answer: 3.910 states/eV per cell

Question: What is the raw total energy in the second record?
Answer: -0.497 Ry/atom